Entry 1:
# Zn6Cu5Au PBE relaxed
# Polymorph energy (0 for the lowest one)   0.005 eV/atom
# Energy   -2.7100 eV/atom
# N(E_F)   2.8 states/eV/cell
# Mass density   9.19 g cm⁻³
# DFT formation energy   -93 meV/atom
data_Zn6Cu5Au
_chemical_formula_sum 'Zn6 Cu5 Au1'
_symmetry_space_group_name_H-M 'P 1 2/m 1'
_symmetry_Int_Tables_number 10
_cell_length_a 4.446
_cell_length_b 5.693
_cell_length_c 6.532
_cell_angle_alpha 90.00
_cell_angle_beta 97.60
_cell_angle_gamma 90.00
loop_
_symmetry_equiv_pos_as_xyz
'x,y,z'
'-x,-y,-z'
'-x,y,-z'
'x,-y,z'
loop_
_atom_site_label
_atom_site_fract_x
_atom_site_fract_y
_atom_site_fract_z
Zn1 0.000 0.238 0.000
Zn2 0.327 0.244 0.657
Cu1 0.164 0.500 0.337
Cu2 0.169 0.000 0.331
Cu3 0.500 0.000 0.000
Au1 0.500 0.500 0.000



Entry 2:
# Rb2O PBE relaxed
# Energy   -3.2038 eV/atom
# N(E_F)   7.9 states/eV/cell
# Raw formation energy   -0.906 eV/atom
# Mass density   2.64 g cm⁻³
data_Rb2O
_chemical_formula_sum 'Rb4 O2'
_symmetry_space_group_name_H-M 'P 63/m m c'
_symmetry_Int_Tables_number 194
_symmetry_space_group_name_Hall '-P 6c 2c'
_cell_length_a 4.2484
_cell_length_b 4.2484
_cell_length_c 15.0165
_cell_angle_alpha 90.00
_cell_angle_beta 90.00
_cell_angle_gamma 120.00
loop_
_atom_site_label
_atom_site_fract_x
_atom_site_fract_y
_atom_site_fract_z
Rb1 0.3333 0.6667 0.0880
O1 0.0000 0.0000 0.0000



Entry 3:
# TbTm5Tl2 PBE relaxed
# Energy   -4.0757 eV/atom
# N(E_F)   20.6 states/eV/cell
# Mass density   10.06 g cm⁻³
# DFT formation energy   -111 meV/atom
data_TbTm5Tl2
_chemical_formula_sum 'Tb2 Tm10 Tl4'
_symmetry_space_group_name_H-M 'I m m m'
_symmetry_Int_Tables_number 71
_symmetry_space_group_name_Hall '-I 2 2'
_cell_length_a 3.587
_cell_length_b 10.307
_cell_length_c 12.607
_cell_angle_alpha 90.00
_cell_angle_beta 90.00
_cell_angle_gamma 90.00
loop_
_atom_site_label
_atom_site_fract_x
_atom_site_fract_y
_atom_site_fract_z
Tb1 0.000 0.000 0.000
Tm1 0.000 0.229 0.367
Tm2 0.000 0.500 0.000
Tl1 0.000 0.500 0.259